Below is an optimized crystal structure of K3PaPb2O9, with properties calculated at the GGA-PBE level.

Space group ... No. 164
DOS at the Fermi energy ... 10.84 states/eV per cell
ΔE_f (raw) ... -1613.6 meV/atom
Density ... 6.11 g cm⁻³

Cell lengths 6.1408, 6.1408, 7.5486 Å; angles 90.00, 90.00, 120.00 degrees
With the nearest neighbours (Å) after each atom.
Fractional positions:
O1 0.5000 0.0000 0.0000  2 Pb 2.20
O2 0.1640 0.8360 0.3344  1 Pa 2.15, 1 Pb 2.18
O3 0.8360 0.6721 0.6656  1 Pa 2.15, 1 Pb 2.18
O4 0.3279 0.1640 0.6656  1 Pa 2.15, 1 Pb 2.18
O5 0.6721 0.8360 0.3344  1 Pa 2.15, 1 Pb 2.18
O6 0.0000 0.5000 0.0000  2 Pb 2.20
O7 0.5000 0.5000 0.0000  2 Pb 2.20
O8 0.8360 0.1640 0.6656  1 Pa 2.15, 1 Pb 2.18
O9 0.1640 0.3279 0.3344  1 Pa 2.15, 1 Pb 2.18
Pb1 0.6667 0.3333 0.8281  6 O 2.18-2.20
Pb2 0.3333 0.6667 0.1719  6 O 2.18-2.20
K1 0.3333 0.6667 0.6784  12 O 3.01-3.16
K2 0.0000 0.0000 0.0000  12 O 3.07
K3 0.6667 0.3333 0.3216  12 O 3.01-3.16
Pa1 0.0000 0.0000 0.5000  6 O 2.15